[1]
A relaxed structure of HoPu2Mn, computed with PBE-GGA.

Summary:
raw total energy: -10.47 eV/atom
magnetic moment: 8.9 μB/f.u.
energy relative to the lowest polymorph listed for this composition: 0 meV per atom
ΔH_f (0 K): 0.135 eV per atom

a = 3.312 Å, b = 3.312 Å, c = 8.666 Å
α = 90.00°, β = 90.00°, γ = 90.00°
Space group P4/mmm (No. 123)
Unique sites:
Ho (0.000, 0.000, 0.000) (multiplicity 1)
Pu (0.500, 0.500, 0.304) (multiplicity 2)
Mn (0.000, 0.000, 0.500) (multiplicity 1)

[2]
A relaxed structure of ScAg2Mo, computed with PBE-GGA.

Summary:
raw total energy: -5.38 eV/atom
magnetic moment: 1.2 μB/f.u.
energy relative to the lowest polymorph listed for this composition: 196 meV per atom
ΔH_f (0 K): 0.340 eV per atom

a = 4.101 Å, b = 4.101 Å, c = 8.626 Å
α = 90.00°, β = 90.00°, γ = 90.00°
Space group I-4m2 (No. 119)
Unique sites:
Sc (0.000, 0.000, 0.000) (multiplicity 2)
Ag (0.000, 0.000, 0.500) (multiplicity 2)
Ag (0.000, 0.500, 0.750) (multiplicity 2)
Mo (0.000, 0.500, 0.250) (multiplicity 2)

[3]
A relaxed structure of Cd2CoSe, computed with PBE-GGA.

Summary:
raw total energy: -2.78 eV/atom
magnetic moment: 1.5 μB/f.u.
formation energy (no corrections): 124 kJ/mol of formula units

a = 3.991 Å, b = 4.065 Å, c = 9.294 Å
α = 90.00°, β = 90.00°, γ = 90.00°
Space group Immm (No. 71)
Unique sites:
Cd (0.000, 0.000, 0.246) (multiplicity 4)
Co (0.000, 0.500, 0.500) (multiplicity 2)
Se (0.000, 0.500, 0.000) (multiplicity 2)

Q: raw total energy of number 3 (Cd2CoSe)?
A: -2.78 eV/atom

Q: magnetic moment of number 3 (Cd2CoSe)?
A: 1.5 μB/f.u.

Q: Number 1 is which compound?
A: HoPu2Mn